10
Lattice="1.3693 7.9361 0.8884 -1.3693 7.9361 0.8884 0.0000 1.6114 4.0735" Properties=species:S:1:pos:R:3 comment="B3C2 GGA-PBE optimized geometry" dos_at_fermi_per_ev_atom=0.29 delta_e_f_kcal_per_mol_atoms=5.8 total_magnetization_mub_per_fu=0.000 pbc="T T T"
B 0.0000 13.0597 3.0065
B 0.0000 4.4240 2.8439
B 0.0000 2.1554 2.7918
B 0.0000 7.9558 4.3350
B 0.0000 9.5279 1.5154
B 0.0000 15.3283 3.0586
C 0.0000 9.5330 3.1479
C 0.0000 14.1793 1.9232
C 0.0000 3.3044 3.9272
C 0.0000 7.9507 2.7025